Record 1
The following is a PBE calculation of a relaxed TlIBrN2 crystal, from Alexandria.

Lattice parameters (Å, degrees): 4.6307 4.6307 8.7681 90.00 90.00 90.00
Closest atoms and distances in Å follow each position.
Atoms (fractional coordinates):
Tl 0.0000 0.0000 0.0000  4 I 3.27
I 0.5000 0.5000 0.0000  4 Tl 3.27
Br 0.5000 0.5000 0.5000  4 N 2.32
N 0.0000 0.5000 0.5000  2 Br 2.32
N 0.5000 0.0000 0.5000  2 Br 2.32

formation energy from raw total energies: 8.52 eV per formula unit
energy relative to the lowest polymorph listed for this composition: 0.04 eV per formula unit
symmetry: P4/mmm (123)
electronic total energy: -13.72 eV per cell
Fermi-level density of states: 1.612 states/eV per cell

Record 2
The following is a PBE calculation of a relaxed YTeS3 crystal, from Alexandria.

Lattice parameters (Å, degrees): 5.0228 5.0228 5.0228 90.00 90.00 90.00
Closest atoms and distances in Å follow each position.
Atoms (fractional coordinates):
Y 0.0000 0.0000 0.0000  12 S 3.55
Te 0.5000 0.5000 0.5000  6 S 2.51
S 0.0000 0.5000 0.5000  2 Te 2.51
S 0.5000 0.0000 0.5000  2 Te 2.51
S 0.5000 0.5000 0.0000  2 Te 2.51

formation energy from raw total energies: -0.98 eV per formula unit
energy relative to the lowest polymorph listed for this composition: 3.50 eV per formula unit
symmetry: Pm-3m (221)
electronic total energy: -22.97 eV per cell
Fermi-level density of states: 2.300 states/eV per cell

Record 3
The following is a PBE calculation of a relaxed CeThZnAg crystal, from Alexandria.

Lattice parameters (Å, degrees): 5.2322 5.2322 5.2322 60.00 60.00 60.00
Closest atoms and distances in Å follow each position.
Atoms (fractional coordinates):
Ce 0.0000 0.0000 0.0000  4 Ag 3.20, 4 Zn 3.20
Th 0.5000 0.5000 0.5000  4 Zn 3.20, 4 Ag 3.20
Zn 0.2500 0.2500 0.2500  4 Th 3.20, 4 Ce 3.20
Ag 0.7500 0.7500 0.7500  4 Th 3.20, 4 Ce 3.20

symmetry: F-43m (216)
electronic total energy: -17.77 eV per cell
energy of formation: -0.072 eV per atom
Fermi-level density of states: 8.869 states/eV per cell

Look up the electronic total energy of the second one.
-22.97 eV per cell

Copy entry 1 word for word.
The following is a PBE calculation of a relaxed TlIBrN2 crystal, from Alexandria.

Lattice parameters (Å, degrees): 4.6307 4.6307 8.7681 90.00 90.00 90.00
Closest atoms and distances in Å follow each position.
Atoms (fractional coordinates):
Tl 0.0000 0.0000 0.0000  4 I 3.27
I 0.5000 0.5000 0.0000  4 Tl 3.27
Br 0.5000 0.5000 0.5000  4 N 2.32
N 0.0000 0.5000 0.5000  2 Br 2.32
N 0.5000 0.0000 0.5000  2 Br 2.32

formation energy from raw total energies: 8.52 eV per formula unit
energy relative to the lowest polymorph listed for this composition: 0.04 eV per formula unit
symmetry: P4/mmm (123)
electronic total energy: -13.72 eV per cell
Fermi-level density of states: 1.612 states/eV per cell

Which value of electronic total energy does entry 3 give?
-17.77 eV per cell